# 1
Be2TlTe PBE-GGA optimized geometry; uncorrected formation energy = 36.9 kJ per mole of atoms; volume = 22.81 A^3/atom; energy relative to the lowest polymorph listed for this composition = 0.032 eV/atom; E_tot = -2.8579 eV per atom
1.0
-1.053 -5.565 -2.122
-1.199 -5.695 1.648
-4.172 0.573 -0.142
Te Tl Be
1 1 2
direct
0.474 0.474 0.751 Te
0.232 0.232 0.237 Tl
0.693 0.693 0.754 Be
0.100 0.100 0.758 Be

=====

# 2
Tm5BeTe4 PBE-GGA optimized geometry; uncorrected formation energy = -94.5 kJ per mole of atoms; volume = 27.30 A^3/atom; E_tot = -4.8445 eV per atom
1.0
-2.914 4.957 -1.688
-6.295 -1.314 -3.629
-4.829 2.487 5.002
Tm Te Be
5 4 1
direct
0.501 0.000 0.000 Tm
0.907 0.356 0.831 Tm
0.095 0.644 0.169 Tm
0.739 0.169 0.356 Tm
0.263 0.831 0.644 Tm
0.414 0.396 0.778 Te
0.810 0.778 0.604 Te
0.588 0.604 0.222 Te
0.192 0.222 0.396 Te
0.001 0.000 0.000 Be

=====

# 3
UBeTe PBE-GGA optimized geometry; uncorrected formation energy = 17.2 kJ per mole of atoms; volume = 22.02 A^3/atom; E_tot = -5.8743 eV per atom
1.0
3.801 0.000 0.000
0.000 5.300 0.000
0.000 0.000 6.558
Be Te U
2 2 2
direct
0.000 0.500 0.907 Be
0.500 0.000 0.093 Be
0.000 0.000 0.315 Te
0.500 0.500 0.685 Te
0.000 0.000 0.805 U
0.500 0.500 0.195 U

=====

# 4
BeVTe2 PBE-GGA optimized geometry; uncorrected formation energy = 43.4 kJ per mole of atoms; volume = 19.74 A^3/atom; energy relative to the lowest polymorph listed for this composition = 0.518 eV/atom; E_tot = -4.3321 eV per atom
1.0
0.000 3.405 3.405
3.405 0.000 3.405
3.405 3.405 0.000
Be V Te
1 1 2
direct
0.000 0.000 0.000 Be
0.500 0.500 0.500 V
0.750 0.750 0.750 Te
0.250 0.250 0.250 Te

=====

# 5
BeV3Te PBE-GGA optimized geometry; uncorrected formation energy = 47.9 kJ per mole of atoms; volume = 14.78 A^3/atom; energy relative to the lowest polymorph listed for this composition = 0.000 eV/atom; E_tot = -6.3479 eV per atom
1.0
4.197 0.000 0.000
0.000 4.197 0.000
0.000 0.000 4.197
Be Te V
1 1 3
direct
0.000 0.000 0.000 Be
0.500 0.500 0.500 Te
0.000 0.500 0.000 V
0.000 0.000 0.500 V
0.500 0.000 0.000 V

=====

# 6
BeV2Te PBE-GGA optimized geometry; uncorrected formation energy = 37.4 kJ per mole of atoms; volume = 14.47 A^3/atom; energy relative to the lowest polymorph listed for this composition = 0.000 eV/atom; E_tot = -5.8889 eV per atom
1.0
0.000 3.070 3.070
3.070 0.000 3.070
3.070 3.070 0.000
Te Be V
1 1 2
direct
0.500 0.500 0.500 Te
0.000 0.000 0.000 Be
0.250 0.250 0.250 V
0.750 0.750 0.750 V